# 1
This record from the Alexandria database describes a crystal of ZrScCd2 relaxed with PBEsol. The functional is SCAN.

magnetic moment	0.00	μB/f.u.
formation energy	-0.195	eV per atom
polymorph energy (0 for the lowest one)	94	meV per atom
V	84	Å³/cell

Unit cell a=5.8823 b=5.8823 c=5.8823 alpha=146.80 beta=130.15 gamma=61.21
With the nearest neighbours (Å) after each atom.
Fractional positions:
Zr: 0.0000 0.0000 0.0000  6 Cd 3.00-3.10, 2 Sc 3.10
Sc: 0.7428 0.2428 0.5000  6 Cd 3.00-3.12, 2 Zr 3.10
Cd: 0.2575 0.7575 0.5000  2 Cd 2.84, 4 Sc 3.00, 2 Zr 3.10
Cd: 0.4835 0.4835 0.0000  2 Cd 2.84, 4 Zr 3.00, 2 Sc 3.12



# 2
This record from the Alexandria database describes a crystal of Tm2IrPt relaxed with PBEsol. The functional is SCAN.

magnetic moment	0.00	μB/f.u.
formation energy	-1.300	eV per atom
V	76	Å³/cell

Unit cell a=4.7572 b=4.7572 c=4.7572 alpha=60.00 beta=60.00 gamma=60.00
With the nearest neighbours (Å) after each atom.
Fractional positions:
Tm: 0.2500 0.2500 0.2500  4 Ir 2.91, 4 Pt 2.91
Tm: 0.7500 0.7500 0.7500  4 Pt 2.91, 4 Ir 2.91
Ir: 0.0000 0.0000 0.0000  8 Tm 2.91
Pt: 0.5000 0.5000 0.5000  8 Tm 2.91



# 3
This record from the Alexandria database describes a crystal of K2S3O6 relaxed with PBEsol. The functional is SCAN.

magnetic moment	0.00	μB/f.u.
E_form (uncorrected)	-1.6784	eV/atom
V	771	Å³/cell

Unit cell a=9.8013 b=5.7021 c=13.7975 alpha=90.00 beta=90.00 gamma=90.00
With the nearest neighbours (Å) after each atom.
Fractional positions:
K: 0.1303 0.2500 0.0907  7 O 2.66-2.90
K: 0.1821 0.2500 0.7628  7 O 2.77-3.08
K: 0.3179 0.7500 0.2628  7 O 2.77-3.08
K: 0.3697 0.7500 0.5907  7 O 2.66-2.90
K: 0.6303 0.2500 0.4093  7 O 2.66-2.90
K: 0.6821 0.2500 0.7372  7 O 2.77-3.08
K: 0.8179 0.7500 0.2372  7 O 2.77-3.08
K: 0.8697 0.7500 0.9093  7 O 2.66-2.90
S: 0.0281 0.2500 0.3202  3 O 1.46
S: 0.0878 0.2500 0.4673  2 S 2.08-2.11
S: 0.1996 0.7500 0.9695  3 O 1.47
S: 0.3004 0.2500 0.4695  3 O 1.47
S: 0.4122 0.7500 0.9673  2 S 2.08-2.11
S: 0.4719 0.7500 0.8202  3 O 1.46
S: 0.5281 0.2500 0.1798  3 O 1.46
S: 0.5878 0.2500 0.0327  2 S 2.08-2.11
S: 0.6996 0.7500 0.5305  3 O 1.47
S: 0.8004 0.2500 0.0305  3 O 1.47
S: 0.9122 0.7500 0.5327  2 S 2.08-2.11
S: 0.9719 0.7500 0.6798  3 O 1.46
O: 0.0796 0.0359 0.2746  1 S 1.46
O: 0.0796 0.4641 0.2746  1 S 1.46
O: 0.1201 0.7500 0.6661  1 S 1.46
O: 0.1475 0.5363 0.9236  1 S 1.47
O: 0.1475 0.9637 0.9236  1 S 1.47
O: 0.1822 0.7500 0.0754  1 S 1.47
O: 0.3178 0.2500 0.5754  1 S 1.47
O: 0.3525 0.0363 0.4236  1 S 1.47
O: 0.3525 0.4637 0.4236  1 S 1.47
O: 0.3799 0.2500 0.1661  1 S 1.46
O: 0.4204 0.5359 0.7746  1 S 1.46
O: 0.4204 0.9641 0.7746  1 S 1.46
O: 0.5796 0.0359 0.2254  1 S 1.46
O: 0.5796 0.4641 0.2254  1 S 1.46
O: 0.6201 0.7500 0.8339  1 S 1.46
O: 0.6475 0.5363 0.5764  1 S 1.47
O: 0.6475 0.9637 0.5764  1 S 1.47
O: 0.6822 0.7500 0.4246  1 S 1.47
O: 0.8178 0.2500 0.9246  1 S 1.47
O: 0.8525 0.0363 0.0764  1 S 1.47
O: 0.8525 0.4637 0.0764  1 S 1.47
O: 0.8799 0.2500 0.3339  1 S 1.46
O: 0.9204 0.5359 0.7254  1 S 1.46
O: 0.9204 0.9641 0.7254  1 S 1.46